# Ba2CuF PBE optimized geometry
# Formation energy (no corrections) ... -1254 meV per atom
# M_tot ... 0.00 μB per formula unit
# DOS at the Fermi energy ... 1.60 states/eV/f.u.
data_Ba2CuF
_cell_length_a 4.7934
_cell_length_b 4.7934
_cell_length_c 25.5532
_cell_angle_alpha 90.00
_cell_angle_beta 90.00
_cell_angle_gamma 120.00
_space_group_name_H-M_alt 'R -3 m'
_space_group_IT_number 166
_space_group_name_Hall '-R 3 2"'
loop_
_atom_site_label
_atom_site_type_symbol
_atom_site_fract_x
_atom_site_fract_y
_atom_site_fract_z
Ba1 Ba 0.0000 0.0000 0.0964
Cu1 Cu 0.0000 0.0000 0.5000
F1 F 0.0000 0.0000 0.0000

# Tl2CdHg6Pb PBE optimized geometry
# Formation energy ... 2.35 kJ/mol of atoms
# M_tot ... 0.00 μB per formula unit
# DOS at the Fermi energy ... 3.68 states/eV/f.u.
data_Tl2CdHg6Pb
_cell_length_a 6.5360
_cell_length_b 6.5421
_cell_length_c 6.8044
_cell_angle_alpha 91.99
_cell_angle_beta 92.74
_cell_angle_gamma 100.77
_space_group_name_H-M_alt 'P -1'
_space_group_IT_number 2
loop_
_space_group_symop_operation_xyz
'x,y,z'
'-x,-y,-z'
loop_
_atom_site_label
_atom_site_type_symbol
_atom_site_fract_x
_atom_site_fract_y
_atom_site_fract_z
Tl1 Tl 0.0668 0.0733 0.2507
Cd1 Cd 0.0000 0.5000 0.5000
Hg1 Hg 0.2124 0.5712 0.1176
Hg2 Hg 0.3074 0.3322 0.7508
Hg3 Hg 0.4129 0.7832 0.5757
Pb1 Pb 0.5000 0.0000 0.0000

# K2SrCo PBE optimized geometry
# Formation energy ... 51.20 kJ/mol of atoms
# M_tot ... 1.16 μB per formula unit
# DOS at the Fermi energy ... 7.73 states/eV/f.u.
data_K2SrCo
_cell_length_a 3.9792
_cell_length_b 3.9417
_cell_length_c 11.2639
_cell_angle_alpha 90.00
_cell_angle_beta 90.64
_cell_angle_gamma 90.00
_space_group_name_H-M_alt 'P 1 m 1'
_space_group_IT_number 6
loop_
_space_group_symop_operation_xyz
'x,y,z'
'x,-y,z'
loop_
_atom_site_label
_atom_site_type_symbol
_atom_site_fract_x
_atom_site_fract_y
_atom_site_fract_z
K1 K 0.0000 0.0000 0.0000
K2 K 0.4823 0.5000 0.3538
Sr1 Sr 0.4902 0.5000 0.6809
Co1 Co 0.9863 0.0000 0.5582

# MnAlCl2 PBE optimized geometry
# Formation energy (no corrections) ... -342 meV per atom
# M_tot ... 3.81 μB per formula unit
# DOS at the Fermi energy ... 3.16 states/eV/f.u.
data_MnAlCl2
_cell_length_a 3.1557
_cell_length_b 7.6133
_cell_length_c 9.4681
_cell_angle_alpha 90.00
_cell_angle_beta 90.00
_cell_angle_gamma 90.00
_space_group_name_H-M_alt 'I m m 2'
_space_group_IT_number 44
loop_
_space_group_symop_operation_xyz
'x,y,z'
'-x,-y,z'
'-x,y,z'
'x,-y,z'
'x+1/2,y+1/2,z+1/2'
'-x+1/2,-y+1/2,z+1/2'
'-x+1/2,y+1/2,z+1/2'
'x+1/2,-y+1/2,z+1/2'
loop_
_atom_site_label
_atom_site_type_symbol
_atom_site_fract_x
_atom_site_fract_y
_atom_site_fract_z
Mn1 Mn 0.0000 0.0000 0.0000
Al1 Al 0.0000 0.5000 0.7177
Cl1 Cl 0.0000 0.0000 0.4065
Cl2 Cl 0.0000 0.5000 0.3137

# BaSr3Pd PBE optimized geometry
# Formation energy ... -27.83 kJ/mol of atoms
# M_tot ... 0.00 μB per formula unit
# DOS at the Fermi energy ... 2.06 states/eV/f.u.
data_BaSr3Pd
_cell_length_a 7.6222
_cell_length_b 8.7427
_cell_length_c 7.6975
_cell_angle_alpha 90.00
_cell_angle_beta 110.54
_cell_angle_gamma 90.00
_space_group_name_H-M_alt 'P 1 2 1'
_space_group_IT_number 3
loop_
_space_group_symop_operation_xyz
'x,y,z'
'-x,y,-z'
loop_
_atom_site_label
_atom_site_type_symbol
_atom_site_fract_x
_atom_site_fract_y
_atom_site_fract_z
Ba1 Ba 0.2477 0.0000 0.2515
Sr1 Sr 0.2350 0.7539 0.7490
Sr2 Sr 0.2422 0.2588 0.7454
Sr3 Sr 0.2520 0.5036 0.2467
Pd1 Pd 0.0000 0.0127 0.5000
Pd2 Pd 0.0000 0.7382 0.0000

# YThTe PBE optimized geometry
# Formation energy (no corrections) ... -364 meV per atom
# M_tot ... 0.00 μB per formula unit
# DOS at the Fermi energy ... 3.91 states/eV/f.u.
data_YThTe
_cell_length_a 5.2532
_cell_length_b 5.2532
_cell_length_c 3.8382
_cell_angle_alpha 90.00
_cell_angle_beta 90.00
_cell_angle_gamma 120.00
_space_group_name_H-M_alt 'P 3 m 1'
_space_group_IT_number 156
loop_
_space_group_symop_operation_xyz
'x,y,z'
'-y,x-y,z'
'-x+y,-x,z'
'-y,-x,z'
'-x+y,y,z'
'x,x-y,z'
loop_
_atom_site_label
_atom_site_type_symbol
_atom_site_fract_x
_atom_site_fract_y
_atom_site_fract_z
Y1 Y 0.0000 0.0000 0.0000
Th1 Th 0.3333 0.6667 0.4989
Te1 Te 0.6667 0.3333 0.0086

# UTl2CuS4 PBE optimized geometry
# Formation energy (no corrections) ... -690 meV per atom
# M_tot ... 1.00 μB per formula unit
# DOS at the Fermi energy ... 5.01 states/eV/f.u.
data_UTl2CuS4
_cell_length_a 6.1397
_cell_length_b 4.0757
_cell_length_c 7.9573
_cell_angle_alpha 90.00
_cell_angle_beta 105.60
_cell_angle_gamma 90.00
_space_group_name_H-M_alt 'P 1 2/m 1'
_space_group_IT_number 10
loop_
_space_group_symop_operation_xyz
'x,y,z'
'-x,-y,-z'
'-x,y,-z'
'x,-y,z'
loop_
_atom_site_label
_atom_site_type_symbol
_atom_site_fract_x
_atom_site_fract_y
_atom_site_fract_z
U1 U 0.0000 0.0000 0.0000
Tl1 Tl 0.0000 0.5000 0.5000
Tl2 Tl 0.5000 0.0000 0.5000
Cu1 Cu 0.5000 0.5000 0.0000
S1 S 0.2428 0.0000 0.7906
S2 S 0.2518 0.5000 0.1777

# TbPm4Bi5 PBE optimized geometry
# Formation energy ... -89.56 kJ/mol of atoms
# M_tot ... 0.00 μB per formula unit
# DOS at the Fermi energy ... 1.22 states/eV/f.u.
data_TbPm4Bi5
_cell_length_a 4.5626
_cell_length_b 4.5626
_cell_length_c 32.2362
_cell_angle_alpha 90.00
_cell_angle_beta 90.00
_cell_angle_gamma 90.00
_space_group_name_H-M_alt 'I 4/m m m'
_space_group_IT_number 139
_space_group_name_Hall '-I 4 2'
loop_
_atom_site_label
_atom_site_type_symbol
_atom_site_fract_x
_atom_site_fract_y
_atom_site_fract_z
Tb1 Tb 0.0000 0.0000 0.0000
Pm1 Pm 0.0000 0.0000 0.1995
Pm2 Pm 0.0000 0.0000 0.4003
Bi1 Bi 0.0000 0.0000 0.0988
Bi2 Bi 0.0000 0.0000 0.3000
Bi3 Bi 0.0000 0.0000 0.5000